First-principles (PBE with a Hubbard U) data for NbCoF3 after structural relaxation, as listed in Alexandria.

Cell: 4.237 4.237 4.237 Å, 90.00 90.00 90.00°
Sites, in units of the cell vectors:
Nb: 0.000 0.000 0.000
Co: 0.500 0.500 0.500
F: 0.000 0.000 0.500
F: 0.000 0.500 0.000
F: 0.500 0.000 0.000

Results
energy: -5.3689 eV/atom
crystal system: cubic